Record 1
# TmGa2Cu10

TmGa2Cu10 after structural relaxation (PBE, Alexandria via LeMat-Bulk).

a = 8.5381 Å, b = 6.5941 Å, c = 6.4380 Å
α = 81.85°, β = 49.86°, γ = 48.28°
Element x y z (fractional)
Tm 0.0000 0.0000 0.0000
Ga 0.0000 0.5000 0.0000
Ga 0.5000 0.0000 0.5000
Cu 0.0000 0.0000 0.5000
Cu 0.0068 0.6465 0.3535
Cu 0.2827 0.5024 0.4976
Cu 0.3535 0.9932 0.0068
Cu 0.4976 0.7173 0.2827
Cu 0.5000 0.5000 0.0000
Cu 0.5024 0.2827 0.7173
Cu 0.6465 0.0068 0.9932
Cu 0.7173 0.4976 0.5024
Cu 0.9932 0.3535 0.6465

Output
theoretical density: 8.769 g/cm³
DOS at the Fermi energy: 5.02 states/eV/cell
symmetry: Fmmm, No. 69

Record 2
# TmGa12Cu4

TmGa12Cu4 after structural relaxation (PBE, Alexandria via LeMat-Bulk).

a = 7.4418 Å, b = 7.4418 Å, c = 7.4418 Å
α = 109.47°, β = 109.47°, γ = 109.47°
Element x y z (fractional)
Tm 0.0000 0.0000 0.0000
Ga 0.1571 0.3448 0.5019
Ga 0.1571 0.6552 0.8123
Ga 0.1877 0.8429 0.3448
Ga 0.3448 0.1877 0.8429
Ga 0.3448 0.5019 0.1571
Ga 0.4981 0.8429 0.6552
Ga 0.5019 0.1571 0.3448
Ga 0.6552 0.4981 0.8429
Ga 0.6552 0.8123 0.1571
Ga 0.8123 0.1571 0.6552
Ga 0.8429 0.3448 0.1877
Ga 0.8429 0.6552 0.4981
Cu 0.0000 0.0000 0.5000
Cu 0.0000 0.5000 0.0000
Cu 0.5000 0.0000 0.0000
Cu 0.5000 0.5000 0.5000

Output
theoretical density: 6.594 g/cm³
DOS at the Fermi energy: 5.75 states/eV/cell
symmetry: Im-3, No. 204

Record 3
# Tm8Ga2Cu

Tm8Ga2Cu after structural relaxation (PBE, Alexandria via LeMat-Bulk).

a = 9.3053 Å, b = 9.3053 Å, c = 6.5204 Å
α = 101.59°, β = 101.59°, γ = 30.55°
Element x y z (fractional)
Tm 0.0231 0.0231 0.2749
Tm 0.2072 0.2072 0.8125
Tm 0.3459 0.3459 0.5252
Tm 0.4082 0.4082 0.0411
Tm 0.5918 0.5918 0.9589
Tm 0.6541 0.6541 0.4748
Tm 0.7928 0.7928 0.1875
Tm 0.9769 0.9769 0.7251
Ga 0.1894 0.1894 0.2537
Ga 0.8106 0.8106 0.7463
Cu 0.5000 0.5000 0.5000

Output
theoretical density: 9.196 g/cm³
DOS at the Fermi energy: 9.91 states/eV/cell
symmetry: C2/m, No. 12

Record 4
# Tm2GaCu

Tm2GaCu after structural relaxation (PBE, Alexandria via LeMat-Bulk).

a = 3.4350 Å, b = 3.4350 Å, c = 7.1259 Å
α = 90.00°, β = 90.00°, γ = 90.00°
Element x y z (fractional)
Tm 0.0000 0.0000 0.2395
Tm 0.0000 0.0000 0.7605
Ga 0.5000 0.5000 0.5000
Cu 0.5000 0.5000 0.0000

Output
theoretical density: 9.305 g/cm³
DOS at the Fermi energy: 2.51 states/eV/cell
symmetry: P4/mmm, No. 123

Record 5
# Tm3Ga12Cu

Tm3Ga12Cu after structural relaxation (PBE, Alexandria via LeMat-Bulk).

a = 4.2316 Å, b = 4.2316 Å, c = 16.4299 Å
α = 90.00°, β = 90.00°, γ = 90.00°
Element x y z (fractional)
Tm 0.0000 0.0000 0.0000
Tm 0.0000 0.0000 0.2607
Tm 0.0000 0.0000 0.7393
Ga 0.0000 0.5000 0.1302
Ga 0.0000 0.5000 0.3929
Ga 0.0000 0.5000 0.6071
Ga 0.0000 0.5000 0.8698
Ga 0.5000 0.0000 0.1302
Ga 0.5000 0.0000 0.3929
Ga 0.5000 0.0000 0.6071
Ga 0.5000 0.0000 0.8698
Ga 0.5000 0.5000 0.0000
Ga 0.5000 0.5000 0.2529
Ga 0.5000 0.5000 0.5000
Ga 0.5000 0.5000 0.7471
Cu 0.0000 0.0000 0.5000

Output
theoretical density: 7.942 g/cm³
DOS at the Fermi energy: 3.89 states/eV/cell
symmetry: P4/mmm, No. 123

Record 6
# TmGa2Cu

TmGa2Cu after structural relaxation (PBE, Alexandria via LeMat-Bulk).

a = 4.6676 Å, b = 4.6676 Å, c = 4.6676 Å
α = 60.00°, β = 60.00°, γ = 60.00°
Element x y z (fractional)
Tm 0.0000 0.0000 0.0000
Ga 0.2500 0.2500 0.2500
Ga 0.7500 0.7500 0.7500
Cu 0.5000 0.5000 0.5000

Output
theoretical density: 8.589 g/cm³
DOS at the Fermi energy: 0.97 states/eV/cell
symmetry: Fm-3m, No. 225

The following energy relative to the elements values (in eV per atom) correspond, in order, to the records above: -0.116 -0.023 -0.239 -0.437 -0.367 -0.292.
The following total energy values (in eV per atom) correspond, in order, to the records above: -4.0761 -3.3864 -4.4135 -4.4531 -3.7320 -3.9477.